Entry 1:
Below is a geometry-optimized HoMgInS3 structure, with properties calculated at the PBE level.

Cell: 7.333 7.333 10.758 Å, 90.00 90.00 147.94°
Fractional positions:
Ho 0.000 0.000 0.000
Ho 0.000 0.000 0.500
Mg 0.462 0.538 0.750
Mg 0.538 0.462 0.250
In 0.253 0.747 0.250
In 0.747 0.253 0.750
S 0.061 0.939 0.750
S 0.376 0.624 0.557
S 0.376 0.624 0.943
S 0.624 0.376 0.057
S 0.624 0.376 0.443
S 0.939 0.061 0.250

## Properties
Its uncorrected energy is -4.86 eV per atom. The calculation puts the total moment at 0.0 μB/cell.



Entry 2:
Below is a geometry-optimized ZnCo9 structure, with properties calculated at the PBE level.

Cell: 2.486 3.463 38.485 Å, 90.00 90.00 90.00°
Fractional positions:
Zn 0.250 0.250 0.191
Zn 0.750 0.750 0.809
Co 0.250 0.250 0.259
Co 0.250 0.250 0.323
Co 0.250 0.250 0.388
Co 0.250 0.250 0.452
Co 0.250 0.250 0.515
Co 0.250 0.250 0.579
Co 0.250 0.250 0.644
Co 0.250 0.250 0.709
Co 0.250 0.250 0.773
Co 0.750 0.750 0.227
Co 0.750 0.750 0.291
Co 0.750 0.750 0.356
Co 0.750 0.750 0.421
Co 0.750 0.750 0.485
Co 0.750 0.750 0.548
Co 0.750 0.750 0.612
Co 0.750 0.750 0.677
Co 0.750 0.750 0.741

## Properties
The calculation puts the total moment at 28.4 μB/cell. The calculation puts the formation energy at 0.079 eV/atom.



Please write out number 2 again, unchanged.
Below is a geometry-optimized ZnCo9 structure, with properties calculated at the PBE level.

Cell: 2.486 3.463 38.485 Å, 90.00 90.00 90.00°
Fractional positions:
Zn 0.250 0.250 0.191
Zn 0.750 0.750 0.809
Co 0.250 0.250 0.259
Co 0.250 0.250 0.323
Co 0.250 0.250 0.388
Co 0.250 0.250 0.452
Co 0.250 0.250 0.515
Co 0.250 0.250 0.579
Co 0.250 0.250 0.644
Co 0.250 0.250 0.709
Co 0.250 0.250 0.773
Co 0.750 0.750 0.227
Co 0.750 0.750 0.291
Co 0.750 0.750 0.356
Co 0.750 0.750 0.421
Co 0.750 0.750 0.485
Co 0.750 0.750 0.548
Co 0.750 0.750 0.612
Co 0.750 0.750 0.677
Co 0.750 0.750 0.741

## Properties
The calculation puts the total moment at 28.4 μB/cell. The calculation puts the formation energy at 0.079 eV/atom.



Q: total moment of number 2 (ZnCo9)?
A: 28.4 μB/cell